A plane-wave DFT calculation with PBE was carried out for a geometry-optimized NaAgAu2Br8 structure.

The structure in CIF format:
```
data_NaAgAu2Br8
_cell_length_a 11.2387
_cell_length_b 11.2387
_cell_length_c 7.8045
_cell_angle_alpha 90.00
_cell_angle_beta 90.00
_cell_angle_gamma 90.00
_space_group_name_H-M_alt 'I -4 m 2'
_space_group_IT_number 119
_space_group_name_Hall 'I -4 -2'
loop_
_atom_site_label
_atom_site_fract_x
_atom_site_fract_y
_atom_site_fract_z
_atom_site_occupancy
Na1 0.0000 0.0000 0.0000 1
Ag1 0.0000 0.5000 0.7500 1
Au1 0.0000 0.0000 0.5000 1
Au2 0.0000 0.5000 0.2500 1
Br1 0.0000 0.1650 0.7279 1
Br2 0.0000 0.3406 0.0118 1
```

Summary:
total magnetic moment	0.00	μB per formula unit
calculated volume	493	Å³/f.u.
uncorrected formation energy	-0.24	eV per atom
mass density	3.922	g/cm3
E	-53.98	eV/cell